[1]
{
  "formula": "Sc3CoPt",
  "functional": "PBE",
  "state": "relaxed",
  "lattice_angstrom": [[6.3785, 0.0000, -3.3188], [0.0000, 7.2207, 0.0000], [-0.0695, 0.0000, 8.0628]],
  "species": ["Sc", "Sc", "Sc", "Sc", "Sc", "Sc", "Sc", "Sc", "Sc", "Sc", "Sc", "Sc", "Co", "Co", "Co", "Co", "Pt", "Pt", "Pt", "Pt"],
  "frac_coords": [[0.3116, 0.0408, 0.0313], [0.6884, 0.9592, 0.9687], [0.1884, 0.5408, 0.9687], [0.8116, 0.4592, 0.0313], [0.5950, 0.3927, 0.2895], [0.4050, 0.6073, 0.7105], [0.9050, 0.8927, 0.7105], [0.0950, 0.1073, 0.2895], [0.9523, 0.7194, 0.3757], [0.0477, 0.2806, 0.6243], [0.5477, 0.2194, 0.6243], [0.4523, 0.7806, 0.3757], [0.5564, 0.6850, 0.0936], [0.4436, 0.3150, 0.9064], [0.9436, 0.1850, 0.9064], [0.0564, 0.8150, 0.0936], [0.2237, 0.4633, 0.3347], [0.7763, 0.5367, 0.6653], [0.2763, 0.9633, 0.6653], [0.7237, 0.0367, 0.3347]],
  "mass_density_g_cm3": 7.0,
  "e_above_lowest_polymorph_ev_per_fu": 0.00,
  "formation_energy_ev_per_atom": -0.67,
  "dos_at_fermi_per_ev_cell": 15.69
}


[2]
{
  "formula": "MgSeS2Cl",
  "functional": "PBE",
  "state": "relaxed",
  "lattice_angstrom": [[-3.5885, 3.1387, -1.2765], [-0.2686, -2.1170, -4.4502], [-3.1128, -2.9179, 1.5759]],
  "species": ["S", "S", "Mg", "Se", "Cl"],
  "frac_coords": [[0.0000, 0.5000, 0.0000], [0.5000, 0.0000, 0.0000], [0.0000, 0.0000, 0.0000], [0.5000, 0.5000, 0.5000], [0.0000, 0.0000, 0.5000]],
  "mass_density_g_cm3": 3.0,
  "e_above_lowest_polymorph_ev_per_fu": 0.29,
  "dos_at_fermi_per_ev_cell": 3.16
}